A plane-wave DFT calculation with PBE was carried out for crystalline SbRuSe2 at its relaxed geometry.

The calculation puts the density of states at the Fermi level at 8.19 states/eV per cell. The calculation puts the total energy at -0.3470 Ry per atom. For the uncorrected formation energy, the calculation gives 0.370 eV per atom. The magnetic moment is 0.00 μB per formula unit.

It has space group Cmmm (No. 65), with a = 3.142 Å, b = 5.595 Å, c = 9.521 Å, α = 90.00°, β = 90.00° and γ = 90.00°. The distinct sites, in fractional coordinates, are Sb at (0.000, 0.000, 0.000), Ru at (0.000, 0.000, 0.500) and Se at (0.000, 0.500, 0.296).

A plane-wave DFT calculation with PBE was carried out for crystalline SbRu2Se at its relaxed geometry.

The calculation puts the density of states at the Fermi level at 6.17 states/eV per cell. The calculation puts the total energy at -0.4696 Ry per atom. For the uncorrected formation energy, the calculation gives 0.151 eV per atom. The magnetic moment is 0.00 μB per formula unit. For the offset from the most stable computed form, the calculation gives 11.54 kJ/mol of atoms.

It has space group R-3m (No. 166, hexagonal axes), with a = 3.1464 Å, b = 3.1464 Å, c = 23.5653 Å, α = 90.00°, β = 90.00° and γ = 120.00°. The distinct sites, in fractional coordinates, are Sb at (0.0000, 0.0000, 0.0000), Ru at (0.0000, 0.0000, 0.2467) and Se at (0.0000, 0.0000, 0.5000).

A plane-wave DFT calculation with PBE was carried out for crystalline SbRu2Se at its relaxed geometry.

The calculation puts the density of states at the Fermi level at 3.28 states/eV per cell. The calculation puts the total energy at -0.4674 Ry per atom. For the uncorrected formation energy, the calculation gives 0.181 eV per atom. The magnetic moment is 0.00 μB per formula unit. For the offset from the most stable computed form, the calculation gives 14.44 kJ/mol of atoms.

It has space group Pmmm (No. 47), with a = 3.156 Å, b = 3.315 Å, c = 6.946 Å, α = 90.00°, β = 90.00° and γ = 90.00°. The distinct sites, in fractional coordinates, are Sb at (0.000, 0.000, 0.000), Ru at (0.500, 0.500, 0.211) and Se at (0.000, 0.500, 0.500).

A plane-wave DFT calculation with PBE was carried out for crystalline Sb2RuSe at its relaxed geometry.

The calculation puts the density of states at the Fermi level at 3.69 states/eV per cell. The calculation puts the total energy at -0.3545 Ry per atom. For the uncorrected formation energy, the calculation gives 0.428 eV per atom. The magnetic moment is 0.00 μB per formula unit.

It has space group P4/mmm (No. 123), with a = 5.016 Å, b = 5.016 Å, c = 3.264 Å, α = 90.00°, β = 90.00° and γ = 90.00°. The distinct sites, in fractional coordinates, are Sb at (0.000, 0.500, 0.000), Ru at (0.000, 0.000, 0.500) and Se at (0.500, 0.500, 0.500).

What is the formula in the third record?
SbRu2Se

Which formula does entry 2 have?
SbRu2Se